Record 1
Below is an optimized crystal structure of TaMnOs, with properties calculated at the PBE level.

a = 4.250 Å, b = 4.250 Å, c = 4.250 Å
α = 60.00°, β = 60.00°, γ = 60.00°
Each line ends with the local moment (μB).
Element x y z (fractional)
Ta 0.750 0.750 0.750  -0.30
Os 0.500 0.500 0.500  0.35
Mn 0.000 0.000 0.000  2.98

Results
**Polymorph energy (0 for the lowest one)**: 643 meV per atom
**Total energy**: -10.144 eV/atom

Record 2
Below is an optimized crystal structure of TaPt2, with properties calculated at the PBE level.

a = 6.214 Å, b = 6.214 Å, c = 6.214 Å
α = 90.00°, β = 90.00°, γ = 90.00°
Element x y z (fractional)
Pt 0.379 0.121 0.879
Pt 0.379 0.379 0.379
Pt 0.879 0.121 0.621
Pt 0.621 0.879 0.121
Pt 0.121 0.879 0.379
Ta 0.000 0.000 0.000
Ta 0.000 0.500 0.500
Ta 0.500 0.500 0.000
Ta 0.500 0.000 0.500
Pt 0.121 0.621 0.879
Pt 0.879 0.379 0.121
Pt 0.621 0.621 0.621

Results
**Total energy**: -7.946 eV/atom